Ba2Li3DySb4 after structural relaxation. Source: the Alexandria database, functional PBE.

Unit cell a=4.938 b=4.938 c=11.991 alpha=90.00 beta=90.00 gamma=90.00
Space group P-4m2 (No. 115)
Symmetry-distinct sites (fractional):
Ba (0.000, 0.500, 0.220) [2 per cell]
Li (0.000, 0.500, 0.883) [2 per cell]
Li (0.500, 0.500, 0.500) [1 per cell]
Dy (0.000, 0.000, 0.500) [1 per cell]
Sb (0.000, 0.000, 0.000) [1 per cell]
Sb (0.000, 0.500, 0.645) [2 per cell]
Sb (0.500, 0.500, 0.000) [1 per cell]

Values from the calculation:
- formation energy (no corrections) (eV/atom) = -0.8362



LiMg2Ru after structural relaxation. Source: the Alexandria database, functional PBE.

Unit cell a=2.766 b=4.373 c=5.543 alpha=90.00 beta=90.00 gamma=90.00
Space group Pmm2 (No. 25)
Symmetry-distinct sites (fractional):
Li (0.000, 0.000, 0.000) [1 per cell]
Mg (0.000, 0.000, 0.550) [1 per cell]
Mg (0.500, 0.500, 0.245) [1 per cell]
Ru (0.500, 0.500, 0.750) [1 per cell]

Values from the calculation:
- E_form (eV/atom) = 0.110



Sm2MgBePd6 after structural relaxation. Source: the Alexandria database, functional PBE.

Unit cell a=10.130 b=5.840 c=7.276 alpha=90.00 beta=117.83 gamma=90.00
Space group C2/m (No. 12)
Symmetry-distinct sites (fractional):
Sm (0.231, 0.000, 0.194) [4 per cell]
Mg (0.000, 0.500, 0.000) [2 per cell]
Be (0.000, 0.000, 0.500) [2 per cell]
Pd (0.021, 0.259, 0.307) [8 per cell]
Pd (0.238, 0.000, 0.690) [4 per cell]

Values from the calculation:
- E_form (eV/atom) = -0.614



- Number 2 is which compound?
  LiMg2Ru